First-principles (PBE) data for a geometry-optimized La2CrSi structure, as listed in Alexandria via LeMat-Bulk.

Values from the calculation:
The value obtained for the total energy is -25.5 eV for the cell shown. For the magnetic moment, the calculation gives 1.916 μB per cell. The space-group type is R3m, No. 160.

The structure in extended XYZ format:
```
4
Lattice="2.170 1.253 6.988 -2.170 1.253 6.988 0.000 -2.505 6.988" Properties=species:S:1:pos:R:3 pbc="T T T"
La 0.000 0.000 0.000
La 0.000 0.000 3.773
Cr 0.000 0.000 15.949
Si 0.000 0.000 8.815
```